No. 1
DFT (PBE) results for BaMnSe2 after structural relaxation.

The structure in POSCAR format:
```
BaMnSe2
1.0
13.227 0.000 0.000
0.000 4.241 0.000
-0.318 0.000 4.776
Ba Mn Se
2 2 4
direct
0.000 0.000 0.000
0.500 0.500 0.000
0.272 0.000 0.300
0.772 0.500 0.300
0.207 0.500 0.073
0.446 0.000 0.494
0.707 0.000 0.073
0.946 0.500 0.494
```

Calculated values
The value obtained for the raw total energy is -44.67 eV/cell. The value obtained for the density is 4.3 Mg/m³. The calculation puts the magnetic moment at 5.0 μB per formula unit. The value obtained for the uncorrected formation energy is -4.27 eV/f.u.

No. 2
DFT (PBE) results for IrC after structural relaxation.

The structure in POSCAR format:
```
IrC
1.0
2.856 0.000 0.000
-1.428 2.474 0.000
0.000 0.000 18.888
Ir C
6 6
direct
0.000 0.000 0.231
0.000 0.000 0.769
0.333 0.667 0.435
0.333 0.667 0.898
0.667 0.333 0.102
0.667 0.333 0.565
0.000 0.000 0.037
0.000 0.000 0.963
0.333 0.667 0.629
0.333 0.667 0.704
0.667 0.333 0.296
0.667 0.333 0.371
```

Calculated values
The calculation puts the relative energy among the computed polymorphs at 15.3 meV per atom. The value obtained for the raw total energy is -102.83 eV/cell. The value obtained for the density is 15.2 Mg/m³. The calculation puts the magnetic moment at 0.0 μB per formula unit.

No. 3
DFT (PBE) results for Th2HgBi4 after structural relaxation.

The structure in POSCAR format:
```
Th2HgBi4
1.0
4.604 0.000 0.000
0.000 4.604 0.000
0.000 0.000 10.574
Th Hg Bi
2 1 4
direct
0.000 0.500 0.242
0.500 0.000 0.758
0.000 0.000 0.500
0.000 0.000 0.000
0.000 0.500 0.695
0.500 0.000 0.305
0.500 0.500 0.000
```

Calculated values
The value obtained for the raw total energy is -33.25 eV/cell. The value obtained for the density is 11.1 Mg/m³. The calculation puts the magnetic moment at 0.0 μB per formula unit.

No. 4
DFT (PBE) results for Li2GdHo after structural relaxation.

The structure in POSCAR format:
```
Li2GdHo
1.0
7.421 0.000 0.000
0.000 7.421 0.000
0.000 0.000 7.421
Li Gd Ho
8 4 4
direct
0.250 0.250 0.250
0.250 0.250 0.750
0.250 0.750 0.250
0.250 0.750 0.750
0.750 0.250 0.250
0.750 0.250 0.750
0.750 0.750 0.250
0.750 0.750 0.750
0.000 0.000 0.000
0.000 0.500 0.500
0.500 0.000 0.500
0.500 0.500 0.000
0.000 0.000 0.500
0.000 0.500 0.000
0.500 0.000 0.000
0.500 0.500 0.500
```

Calculated values
The calculation puts the relative energy among the computed polymorphs at 8.6 meV per atom. The value obtained for the raw total energy is -87.56 eV/cell. The value obtained for the density is 5.5 Mg/m³. The calculation puts the magnetic moment at 7.8 μB per formula unit.

No. 5
DFT (PBE) results for GaFeH2Os after structural relaxation.

The structure in POSCAR format:
```
GaFeH2Os
1.0
3.453 0.000 0.000
0.000 3.453 0.000
0.000 0.000 4.701
Ga Fe H Os
1 1 2 1
direct
0.000 0.000 0.000
0.500 0.500 0.000
0.000 0.500 0.500
0.500 0.000 0.500
0.500 0.500 0.500
```

Calculated values
The value obtained for the raw total energy is -26.39 eV/cell. The value obtained for the density is 9.4 Mg/m³. The calculation puts the magnetic moment at 1.0 μB per formula unit.

No. 6
DFT (PBE) results for CsTe2Au after structural relaxation.

The structure in POSCAR format:
```
CsTe2Au
1.0
4.261 0.000 0.000
-2.130 3.690 0.000
0.000 0.000 30.615
Cs Te Au
3 6 3
direct
0.000 0.000 0.000
0.333 0.667 0.667
0.667 0.333 0.333
0.000 0.000 0.118
0.000 0.000 0.882
0.333 0.667 0.548
0.333 0.667 0.785
0.667 0.333 0.215
0.667 0.333 0.452
0.000 0.000 0.500
0.333 0.667 0.167
0.667 0.333 0.833
```

Calculated values
The value obtained for the raw total energy is -32.05 eV/cell. The value obtained for the density is 6.1 Mg/m³. The calculation puts the magnetic moment at 0.0 μB per formula unit. The value obtained for the uncorrected formation energy is -0.27 eV/f.u.

No. 7
DFT (PBE) results for LaCeHo2S4 after structural relaxation.

The structure in POSCAR format:
```
LaCeHo2S4
1.0
6.871 0.000 0.000
0.000 3.950 0.000
-2.276 0.000 6.612
La Ce Ho S
1 1 2 4
direct
0.000 0.000 0.000
0.500 0.500 0.000
0.000 0.500 0.500
0.500 0.000 0.500
0.248 0.000 0.733
0.260 0.500 0.270
0.740 0.500 0.730
0.752 0.000 0.267
```

Calculated values
The value obtained for the raw total energy is -52.90 eV/cell. The value obtained for the density is 6.8 Mg/m³. The calculation puts the magnetic moment at 0.9 μB per formula unit. The value obtained for the uncorrected formation energy is -16.37 eV/f.u.

No. 8
DFT (PBE) results for GeSe2Cl after structural relaxation.

The structure in POSCAR format:
```
GeSe2Cl
1.0
2.918 0.000 0.000
-1.459 2.527 0.000
0.000 0.000 35.585
Ge Se Cl
3 6 3
direct
0.000 0.000 0.000
0.333 0.667 0.667
0.667 0.333 0.333
0.000 0.000 0.074
0.000 0.000 0.926
0.333 0.667 0.592
0.333 0.667 0.741
0.667 0.333 0.259
0.667 0.333 0.408
0.000 0.000 0.500
0.333 0.667 0.167
0.667 0.333 0.833
```

Calculated values
The calculation puts the relative energy among the computed polymorphs at 501.8 meV per atom. The value obtained for the raw total energy is -35.82 eV/cell. The value obtained for the density is 5.1 Mg/m³. The calculation puts the magnetic moment at 0.0 μB per formula unit. The value obtained for the uncorrected formation energy is 1.49 eV/f.u.

Q: Number 3 is which compound?
A: Th2HgBi4

Q: What is the magnetic moment in the first record?
A: 5.0 μB per formula unit